{"formula": "Cs2HSe2O6", "functional": "PBE-GGA", "state": "optimized geometry", "dft_energy_ev_per_atom": -4.6138, "crystal_system": "monoclinic", "cell": [[5.2893, 0.0000, 0.0000], [-2.6447, 6.8173, 0.3391], [0.0000, -3.5152, 6.2124]], "species": ["Cs", "Cs", "H", "Se", "Se", "O", "O", "O", "O", "O", "O"], "frac_coords": [[0.7085, 0.4170, 0.2068], [0.2915, 0.5830, 0.7932], [0.5000, 0.0000, 0.5000], [0.0018, 0.0036, 0.7702], [0.9982, 0.9964, 0.2298], [0.8629, 0.7259, 0.6511], [0.2169, 0.9012, 0.2999], [0.3156, 0.0988, 0.7001], [0.7831, 0.0988, 0.7001], [0.6844, 0.9012, 0.2999], [0.1371, 0.2741, 0.3489]]}

***

{"formula": "CsHSeO3", "functional": "PBE-GGA", "state": "optimized geometry", "dft_energy_ev_per_atom": -4.9802, "crystal_system": "orthorhombic", "cell": [[-3.0534, 4.6655, 2.2921], [-4.4713, -0.8352, -4.2565], [-6.5926, -8.5400, 8.6009]], "species": ["Cs", "Cs", "Cs", "Cs", "H", "H", "H", "H", "O", "O", "O", "O", "O", "O", "O", "O", "O", "O", "O", "O", "Se", "Se", "Se", "Se"], "frac_coords": [[0.0036, 0.0970, 0.8694], [0.5036, 0.9030, 0.1306], [0.0036, 0.5970, 0.6306], [0.5036, 0.4030, 0.3694], [0.0099, 0.0322, 0.1534], [0.5099, 0.9678, 0.8466], [0.0099, 0.5322, 0.3466], [0.5099, 0.4678, 0.6534], [0.5095, 0.3577, 0.5979], [0.0095, 0.6423, 0.4021], [0.5095, 0.8577, 0.9021], [0.0095, 0.1423, 0.0979], [0.5217, 0.1594, 0.7714], [0.0217, 0.8406, 0.2286], [0.5217, 0.6594, 0.7286], [0.0217, 0.3406, 0.2714], [0.1728, 0.0847, 0.6523], [0.6728, 0.9153, 0.3477], [0.1728, 0.5847, 0.8477], [0.6728, 0.4153, 0.1523], [0.4521, 0.0935, 0.6545], [0.9521, 0.9065, 0.3455], [0.4521, 0.5935, 0.8455], [0.9521, 0.4065, 0.1545]]}

***

{"formula": "Cs3HSe2O8", "functional": "PBE-GGA", "state": "optimized geometry", "polymorph_energy_mev_per_atom": 1, "crystal_system": "monoclinic", "cell": [[-6.1546, 0.9864, -1.4608], [0.2107, -6.9627, -5.5895], [-2.7184, -10.1564, 4.5949]], "species": ["Cs", "Cs", "Cs", "Cs", "Cs", "Cs", "H", "H", "Se", "Se", "Se", "Se", "O", "O", "O", "O", "O", "O", "O", "O", "O", "O", "O", "O", "O", "O", "O", "O"], "frac_coords": [[0.2500, 0.9980, 0.2537], [0.7500, 0.0020, 0.7463], [0.2500, 0.3618, 0.4465], [0.7500, 0.6382, 0.5535], [0.2500, 0.6122, 0.0558], [0.7500, 0.3878, 0.9442], [0.2500, 0.0056, 0.7753], [0.7500, 0.9944, 0.2247], [0.2500, 0.7791, 0.6856], [0.7500, 0.2209, 0.3144], [0.2500, 0.2393, 0.8172], [0.7500, 0.7607, 0.1828], [0.0346, 0.6940, 0.7722], [0.5346, 0.3060, 0.2278], [0.9654, 0.3060, 0.2278], [0.4654, 0.6940, 0.7722], [0.2500, 0.9843, 0.6565], [0.7500, 0.0157, 0.3435], [0.2500, 0.7657, 0.5456], [0.7500, 0.2343, 0.4544], [0.0338, 0.3114, 0.7306], [0.5338, 0.6886, 0.2694], [0.9662, 0.6886, 0.2694], [0.4662, 0.3114, 0.7306], [0.2500, 0.0222, 0.8625], [0.7500, 0.9778, 0.1375], [0.2500, 0.2535, 0.9560], [0.7500, 0.7465, 0.0440]]}

***

{"formula": "Cs3HSe2O8", "functional": "PBE-GGA", "state": "optimized geometry", "polymorph_energy_mev_per_atom": 3, "crystal_system": "monoclinic", "cell": [[-4.0349, 4.7698, -2.0568], [-6.1420, -1.2690, -1.9816], [-6.0666, 2.1935, 6.1559]], "species": ["Cs", "Cs", "Cs", "H", "O", "O", "O", "O", "O", "O", "O", "O", "Se", "Se"], "frac_coords": [[0.0000, 0.0000, 0.0000], [0.8051, 0.8051, 0.6263], [0.1949, 0.1949, 0.3737], [0.5000, 0.5000, 0.0000], [0.7376, 0.3059, 0.6909], [0.6941, 0.2624, 0.3091], [0.2624, 0.6941, 0.3091], [0.3059, 0.7376, 0.6909], [0.5994, 0.5994, 0.0184], [0.4006, 0.4006, 0.9816], [0.7047, 0.7047, 0.2403], [0.2953, 0.2953, 0.7597], [0.5647, 0.5647, 0.2290], [0.4353, 0.4353, 0.7710]]}

***

{"formula": "CsH2Se2O6", "functional": "PBE-GGA", "state": "optimized geometry", "dft_energy_ev_per_atom": -4.9310, "crystal_system": "triclinic", "cell": [[6.4416, -0.0556, 0.0599], [3.2005, 7.0512, 0.3055], [0.0475, -3.5424, 4.6862]], "species": ["Cs", "H", "H", "Se", "Se", "O", "O", "O", "O", "O", "O"], "frac_coords": [[0.5000, 0.0000, 0.5000], [0.8723, 0.4563, 0.6651], [0.1277, 0.5437, 0.3349], [0.0771, 0.7265, 0.8090], [0.9229, 0.2735, 0.1910], [0.3239, 0.4983, 0.7350], [0.1649, 0.2954, 0.1218], [0.0769, 0.7126, 0.4942], [0.8351, 0.7046, 0.8782], [0.9231, 0.2874, 0.5058], [0.6761, 0.5017, 0.2650]]}

***

{"formula": "Cs3HSe2O8", "functional": "PBE-GGA", "state": "optimized geometry", "polymorph_energy_mev_per_atom": 0, "crystal_system": "monoclinic", "cell": [[-7.7051, 3.0558, 3.2658], [-8.1781, 1.6270, -3.1375], [-5.4376, -9.3934, 2.4977]], "species": ["Cs", "Cs", "Cs", "Cs", "Cs", "Cs", "H", "H", "Se", "Se", "Se", "Se", "O", "O", "O", "O", "O", "O", "O", "O", "O", "O", "O", "O", "O", "O", "O", "O"], "frac_coords": [[0.9019, 0.4741, 0.8482], [0.4741, 0.9019, 0.3482], [0.0966, 0.5273, 0.1526], [0.5273, 0.0966, 0.6526], [0.7492, 0.2579, 0.2500], [0.2579, 0.7492, 0.7500], [0.0242, 0.9748, 0.4924], [0.9748, 0.0242, 0.9924], [0.3243, 0.9035, 0.0348], [0.9035, 0.3243, 0.5348], [0.6712, 0.0965, 0.9671], [0.0965, 0.6712, 0.4671], [0.3846, 0.9250, 0.8828], [0.9250, 0.3846, 0.3828], [0.6185, 0.0761, 0.1190], [0.0761, 0.6185, 0.6190], [0.1695, 0.1419, 0.0942], [0.1419, 0.1695, 0.5942], [0.8323, 0.8601, 0.9058], [0.8601, 0.8323, 0.4058], [0.1677, 0.8528, 0.0520], [0.8528, 0.1677, 0.5520], [0.8242, 0.1586, 0.9454], [0.1586, 0.8242, 0.4454], [0.5500, 0.6963, 0.1077], [0.6963, 0.5500, 0.6077], [0.4484, 0.3066, 0.8941], [0.3066, 0.4484, 0.3941]]}

***

{"formula": "CsH3Se2O6", "functional": "PBE-GGA", "state": "optimized geometry", "dft_energy_ev_per_atom": -5.0372, "crystal_system": "triclinic", "cell": [[6.0033, -0.0194, -0.0562], [-0.1980, 6.7257, 0.0065], [-2.6690, -0.4084, 9.2419]], "species": ["Cs", "Cs", "H", "H", "H", "H", "H", "H", "Se", "Se", "Se", "Se", "O", "O", "O", "O", "O", "O", "O", "O", "O", "O", "O", "O"], "frac_coords": [[0.8872, 0.2386, 0.8255], [0.1112, 0.7549, 0.1665], [0.5349, 0.0063, 0.0309], [0.4720, 0.5129, 0.9731], [0.5196, 0.5270, 0.4809], [0.4603, 0.0089, 0.5041], [0.2381, 0.2831, 0.2378], [0.7710, 0.7138, 0.7627], [0.1938, 0.2608, 0.5201], [0.8247, 0.7633, 0.4871], [0.6173, 0.2683, 0.2090], [0.3916, 0.7511, 0.7878], [0.0992, 0.3272, 0.3437], [0.9109, 0.6684, 0.6558], [0.4505, 0.3916, 0.5910], [0.5599, 0.6129, 0.4034], [0.6732, 0.4224, 0.0880], [0.3256, 0.5653, 0.9006], [0.3030, 0.2574, 0.1493], [0.7053, 0.7440, 0.8502], [0.2860, 0.0098, 0.4997], [0.7196, 0.9891, 0.5112], [0.6516, 0.0280, 0.1331], [0.3570, 0.9617, 0.8770]]}

***

{"formula": "Cs2TeH6SeO10", "functional": "PBE-GGA", "state": "optimized geometry", "dft_energy_ev_per_atom": -5.0683, "crystal_system": "monoclinic", "cell": [[-5.2494, 3.5981, -4.0126], [3.3870, -6.4945, -10.2546], [-6.9325, -11.1134, -0.8960]], "species": ["Cs", "Cs", "Cs", "Cs", "Cs", "Cs", "Cs", "Cs", "Te", "Te", "Te", "Te", "H", "H", "H", "H", "H", "H", "H", "H", "H", "H", "H", "H", "H", "H", "H", "H", "H", "H", "H", "H", "H", "H", "H", "H", "Se", "Se", "Se", "Se", "O", "O", "O", "O", "O", "O", "O", "O", "O", "O", "O", "O", "O", "O", "O", "O", "O", "O", "O", "O", "O", "O", "O", "O", "O", "O", "O", "O", "O", "O", "O", "O", "O", "O", "O", "O", "O", "O", "O", "O"], "frac_coords": [[0.4688, 0.3897, 0.3633], [0.5312, 0.6103, 0.6367], [0.9688, 0.1103, 0.6367], [0.0312, 0.8897, 0.3633], [0.9917, 0.6439, 0.1425], [0.0083, 0.3561, 0.8575], [0.4917, 0.8561, 0.8575], [0.5083, 0.1439, 0.1425], [0.0000, 0.5000, 0.5000], [0.5000, 0.0000, 0.5000], [0.0000, 0.0000, 0.0000], [0.5000, 0.5000, 0.0000], [0.2879, 0.8998, 0.0782], [0.7121, 0.1002, 0.9218], [0.7879, 0.6002, 0.9218], [0.2121, 0.3998, 0.0782], [0.7967, 0.6622, 0.3903], [0.2033, 0.3378, 0.6097], [0.2967, 0.8378, 0.6097], [0.7033, 0.1622, 0.3903], [0.7539, 0.8777, 0.5910], [0.2461, 0.1223, 0.4090], [0.2539, 0.6223, 0.4090], [0.7461, 0.3777, 0.5910], [0.5223, 0.8746, 0.3875], [0.4777, 0.1254, 0.6125], [0.0223, 0.6254, 0.6125], [0.9777, 0.3746, 0.3875], [0.4658, 0.6054, 0.1292], [0.5342, 0.3946, 0.8708], [0.9658, 0.8946, 0.8708], [0.0342, 0.1054, 0.1292], [0.7518, 0.9014, 0.1255], [0.2482, 0.0986, 0.8745], [0.2518, 0.5986, 0.8745], [0.7482, 0.4014, 0.1255], [0.4989, 0.7489, 0.2543], [0.5011, 0.2511, 0.7457], [0.9989, 0.7511, 0.7457], [0.0011, 0.2489, 0.2543], [0.7852, 0.7790, 0.7109], [0.2148, 0.2210, 0.2891], [0.2852, 0.7210, 0.2891], [0.7148, 0.2790, 0.7109], [0.9234, 0.6396, 0.3867], [0.0766, 0.3604, 0.6133], [0.4234, 0.8604, 0.6133], [0.5766, 0.1396, 0.3867], [0.3795, 0.5789, 0.0841], [0.6205, 0.4211, 0.9159], [0.8795, 0.9211, 0.9159], [0.1205, 0.0789, 0.0841], [0.8840, 0.9001, 0.1329], [0.1160, 0.0999, 0.8671], [0.3840, 0.5999, 0.8671], [0.6160, 0.4001, 0.1329], [0.5125, 0.8735, 0.1505], [0.4875, 0.1265, 0.8495], [0.0125, 0.6265, 0.8495], [0.9875, 0.3735, 0.1505], [0.6975, 0.6076, 0.9742], [0.3025, 0.3924, 0.0258], [0.1975, 0.8924, 0.0258], [0.8025, 0.1076, 0.9742], [0.5850, 0.6450, 0.2172], [0.4150, 0.3550, 0.7828], [0.0850, 0.8550, 0.7828], [0.9150, 0.1450, 0.2172], [0.4435, 0.9395, 0.3850], [0.5565, 0.0605, 0.6150], [0.9435, 0.5605, 0.6150], [0.0565, 0.4395, 0.3850], [0.6142, 0.7551, 0.3626], [0.3858, 0.2449, 0.6374], [0.1142, 0.7449, 0.6374], [0.8858, 0.2551, 0.3626], [0.7402, 0.9386, 0.5164], [0.2598, 0.0614, 0.4836], [0.2402, 0.5614, 0.4836], [0.7598, 0.4386, 0.5164]]}

***

{"formula": "Cs2ZnH12Se2O14", "functional": "PBE-GGA", "state": "optimized geometry", "dft_energy_ev_per_atom": -4.9862, "crystal_system": "monoclinic", "cell": [[6.6057, 0.0104, 0.0000], [-2.5099, 9.1899, 0.0000], [0.0000, 0.0000, 13.1201]], "species": ["Cs", "Cs", "Cs", "Cs", "Zn", "Zn", "H", "H", "H", "H", "H", "H", "H", "H", "H", "H", "H", "H", "H", "H", "H", "H", "H", "H", "H", "H", "H", "H", "H", "H", "Se", "Se", "Se", "Se", "O", "O", "O", "O", "O", "O", "O", "O", "O", "O", "O", "O", "O", "O", "O", "O", "O", "O", "O", "O", "O", "O", "O", "O", "O", "O", "O", "O"], "frac_coords": [[0.3470, 0.1297, 0.6481], [0.6530, 0.3703, 0.1481], [0.3470, 0.6297, 0.8519], [0.6530, 0.8703, 0.3519], [0.0000, 0.0000, 0.0000], [0.0000, 0.5000, 0.5000], [0.6800, 0.1041, 0.9385], [0.3058, 0.0236, 0.1360], [0.9238, 0.2267, 0.5947], [0.9030, 0.2664, 0.3711], [0.3169, 0.2025, 0.9051], [0.0096, 0.1530, 0.1808], [0.9904, 0.3470, 0.6808], [0.6831, 0.2975, 0.4051], [0.0970, 0.2336, 0.8711], [0.0762, 0.2733, 0.0947], [0.6942, 0.4764, 0.6360], [0.3200, 0.3959, 0.4385], [0.6800, 0.6041, 0.5615], [0.3058, 0.5236, 0.3640], [0.9238, 0.7267, 0.9053], [0.9030, 0.7664, 0.1289], [0.3169, 0.7025, 0.5949], [0.0096, 0.6530, 0.3192], [0.9904, 0.8470, 0.8192], [0.6831, 0.7975, 0.0949], [0.0970, 0.7336, 0.6289], [0.0762, 0.7733, 0.4053], [0.6942, 0.9764, 0.8640], [0.3200, 0.8959, 0.0615], [0.2582, 0.1035, 0.3532], [0.7418, 0.3965, 0.8532], [0.2582, 0.6035, 0.1468], [0.7418, 0.8965, 0.6468], [0.7192, 0.0097, 0.9363], [0.7935, 0.0457, 0.5740], [0.9875, 0.1728, 0.1075], [0.4014, 0.0819, 0.2519], [0.1669, 0.1566, 0.8892], [0.0355, 0.1415, 0.3138], [0.5972, 0.2580, 0.9235], [0.4028, 0.2420, 0.4235], [0.9645, 0.3585, 0.8138], [0.8331, 0.3434, 0.3892], [0.5986, 0.4181, 0.7519], [0.0125, 0.3272, 0.6075], [0.7192, 0.5097, 0.5637], [0.7935, 0.5457, 0.9260], [0.2065, 0.4543, 0.0740], [0.2808, 0.4903, 0.4363], [0.9875, 0.6728, 0.3925], [0.4014, 0.5819, 0.2481], [0.1669, 0.6566, 0.6108], [0.0355, 0.6415, 0.1862], [0.5972, 0.7580, 0.5765], [0.4028, 0.7420, 0.0765], [0.9645, 0.8585, 0.6862], [0.8331, 0.8434, 0.1108], [0.5986, 0.9181, 0.7481], [0.0125, 0.8272, 0.8925], [0.2065, 0.9543, 0.4260], [0.2808, 0.9903, 0.0637]]}

***

{"formula": "Cs2SiH2O4", "functional": "PBE-GGA", "state": "optimized geometry", "dft_energy_ev_per_atom": -5.6039, "crystal_system": "triclinic", "cell": [[-1.8020, 3.4704, 5.1639], [-2.8074, -4.7289, 3.7871], [8.2104, -1.4607, 0.2864]], "species": ["Cs", "Cs", "Cs", "Cs", "Si", "Si", "H", "H", "H", "H", "O", "O", "O", "O", "O", "O", "O", "O"], "frac_coords": [[0.3107, 0.8104, 0.3205], [0.6893, 0.1896, 0.6795], [0.2868, 0.2285, 0.0494], [0.7132, 0.7715, 0.9506], [0.8770, 0.3660, 0.2671], [0.1230, 0.6340, 0.7329], [0.7358, 0.5063, 0.4797], [0.2642, 0.4937, 0.5203], [0.1034, 0.3064, 0.5890], [0.8966, 0.6936, 0.4110], [0.6887, 0.3879, 0.3756], [0.3113, 0.6121, 0.6244], [0.8899, 0.6265, 0.2851], [0.1101, 0.3735, 0.7149], [0.1186, 0.2705, 0.3794], [0.8814, 0.7295, 0.6206], [0.7822, 0.2509, 0.0653], [0.2178, 0.7491, 0.9347]]}

***

{"formula": "CsSnH2O", "functional": "PBE-GGA", "state": "optimized geometry", "dft_energy_ev_per_atom": -2.4513, "crystal_system": "tetragonal", "cell": [[-0.0549, 2.2107, 4.4174], [-3.3523, -2.7239, 1.3215], [3.3105, -3.2623, 1.6737]], "species": ["Cs", "H", "H", "Sn", "O"], "frac_coords": [[0.0000, 0.0000, 0.0000], [0.0000, 0.0000, 0.5000], [0.5000, 0.0000, 0.0000], [0.5000, 0.5000, 0.5000], [0.0000, 0.5000, 0.0000]]}

***

{"formula": "Cs2SnH6O12", "functional": "PBE-GGA", "state": "optimized geometry", "dft_energy_ev_per_atom": -4.8194, "crystal_system": "trigonal", "cell": [[3.9369, -6.8189, 0.0000], [3.9369, 6.8189, 0.0000], [0.0000, 0.0000, 5.1066]], "species": ["Cs", "Cs", "Sn", "H", "H", "H", "H", "H", "H", "O", "O", "O", "O", "O", "O", "O", "O", "O", "O", "O", "O"], "frac_coords": [[0.3333, 0.6667, 0.4162], [0.6667, 0.3333, 0.5838], [0.0000, 0.0000, 0.5000], [0.2717, 0.2842, 0.0022], [0.0125, 0.7283, 0.0022], [0.7158, 0.9875, 0.0022], [0.7283, 0.7158, 0.9978], [0.9875, 0.2717, 0.9978], [0.2842, 0.0125, 0.9978], [0.0862, 0.2582, 0.7291], [0.1721, 0.9138, 0.7291], [0.7418, 0.8279, 0.7291], [0.9138, 0.7418, 0.2709], [0.8279, 0.0862, 0.2709], [0.2582, 0.1721, 0.2709], [0.2903, 0.3478, 0.8228], [0.0575, 0.7097, 0.8228], [0.6522, 0.9425, 0.8228], [0.7097, 0.6522, 0.1772], [0.9425, 0.2903, 0.1772], [0.3478, 0.0575, 0.1772]]}

***

{"formula": "Cs2TcHO4", "functional": "PBE-GGA", "state": "optimized geometry", "dft_energy_ev_per_atom": -5.5500, "crystal_system": "orthorhombic", "cell": [[4.7932, 0.0000, 0.0000], [2.3966, 6.3613, 0.0000], [2.3966, 0.0000, 10.5604]], "species": ["Cs", "Cs", "Cs", "Cs", "Tc", "Tc", "H", "H", "O", "O", "O", "O", "O", "O", "O", "O"], "frac_coords": [[0.1709, 0.0000, 0.6582], [0.8291, 0.0000, 0.3418], [0.5791, 0.5000, 0.8418], [0.9209, 0.5000, 0.1582], [0.2500, 0.5000, 0.5000], [0.5000, 0.0000, 0.0000], [0.7500, 0.5000, 0.5000], [0.0000, 0.0000, 0.0000], [0.2695, 0.8452, 0.0825], [0.1972, 0.1548, 0.9175], [0.8852, 0.8452, 0.9175], [0.6480, 0.1548, 0.0825], [0.4805, 0.6548, 0.4175], [0.5528, 0.3452, 0.5825], [0.8648, 0.6548, 0.5825], [0.1020, 0.3452, 0.4175]]}

***

Quick rundown of Fermi-level density of states, same order as above: 2.5; 0.0; 0.0; 0.0; 3.2; 0.0; 0.0; 0.0; 0.0; 0.0; 0.9; 0.0; 2.6 states/eV/f.u.
Quick rundown of M_tot, same order as above: 0.0; 0.0; 0.2; 0.1; 0.0; 0.2; 0.0; 0.2; 0.0; 0.0; 0.0; 0.0; 1.0 μB/f.u.